! PBE BaTl2CdPt, optimized geometry; values from VASP
&SYSTEM
  ibrav = 0, nat = 5, ntyp = 4
/
ATOMIC_SPECIES
Pt 195.08 Pt.upf
Tl 204.38 Tl.upf
Ba 137.33 Ba.upf
Cd 112.41 Cd.upf
CELL_PARAMETERS angstrom
5.376 0.000 0.000
0.000 5.376 0.000
0.000 0.000 6.072
ATOMIC_POSITIONS angstrom
Pt 0.000 0.000 0.000
Tl 0.000 2.688 0.000
Ba 0.000 0.000 3.036
Cd 2.688 2.688 3.036
Tl 2.688 0.000 0.000
! Calculated density = 8.08 Mg/m³
! ΔE to the lowest computed polymorph = 48.0 meV/atom
! Space-group type = No. 123
! Total magnetic moment = 0.000 μB per atom

---

! PBE BaTlCd2Pt, optimized geometry; values from VASP
&SYSTEM
  ibrav = 0, nat = 5, ntyp = 4
/
ATOMIC_SPECIES
Cd 112.41 Cd.upf
Ba 137.33 Ba.upf
Tl 204.38 Tl.upf
Pt 195.08 Pt.upf
CELL_PARAMETERS angstrom
5.337 0.000 0.000
0.000 5.337 0.000
0.000 0.000 5.925
ATOMIC_POSITIONS angstrom
Cd 2.669 0.000 0.000
Ba 0.000 0.000 2.962
Cd 0.000 2.669 0.000
Tl 2.669 2.669 2.962
Pt 0.000 0.000 0.000
! Calculated density = 7.49 Mg/m³
! ΔE to the lowest computed polymorph = 71.4 meV/atom
! Space-group type = No. 123
! Total magnetic moment = 0.000 μB per atom

---

! PBE Ba2Tl6CdPt, optimized geometry; values from VASP
&SYSTEM
  ibrav = 0, nat = 20, ntyp = 4
/
ATOMIC_SPECIES
Tl 204.38 Tl.upf
Ba 137.33 Ba.upf
Cd 112.41 Cd.upf
Pt 195.08 Pt.upf
CELL_PARAMETERS angstrom
-4.260 2.049 5.937
-7.081 -2.644 0.682
0.683 -10.414 8.935
ATOMIC_POSITIONS angstrom
Tl -6.923 -2.355 3.443
Tl -6.028 -3.238 9.310
Tl -1.888 -9.543 9.536
Tl -7.104 -6.581 9.691
Ba -9.925 -3.837 8.755
Cd -4.345 -7.757 9.261
Ba -7.577 -9.209 12.293
Ba -0.734 -7.172 6.799
Tl -3.735 -8.654 12.111
Cd -6.313 -3.252 6.293
Tl -7.665 -5.963 6.259
Tl -3.554 -4.428 5.863
Tl -4.958 -10.689 9.832
Pt -5.329 -5.505 7.777
Tl -8.770 -1.466 6.018
Ba -3.081 -1.800 3.261
Pt 0.000 0.000 0.000
Tl -5.700 -0.320 5.722
Tl -2.993 -5.046 9.295
Tl -4.630 -7.771 6.244
! Calculated density = 9.25 Mg/m³
! VASP energy = -2.705 eV/atom
! Space-group type = No. 166
! Total magnetic moment = 0.000 μB per atom

---

! PBE BaTlCd2Pt, optimized geometry; values from VASP
&SYSTEM
  ibrav = 0, nat = 5, ntyp = 4
/
ATOMIC_SPECIES
Ba 137.33 Ba.upf
Pt 195.08 Pt.upf
Cd 112.41 Cd.upf
Tl 204.38 Tl.upf
CELL_PARAMETERS angstrom
5.297 0.000 0.000
0.000 6.662 0.000
0.000 0.000 5.297
ATOMIC_POSITIONS angstrom
Ba 0.000 3.331 0.000
Pt 2.649 3.331 2.649
Cd 2.649 0.000 0.000
Cd 0.000 0.000 2.649
Tl 0.000 0.000 0.000
! Calculated density = 6.77 Mg/m³
! ΔE to the lowest computed polymorph = 758.8 meV/atom
! Space-group type = No. 123
! Total magnetic moment = 0.000 μB per atom

---

! PBE BaTl2CdPt, optimized geometry; values from VASP
&SYSTEM
  ibrav = 0, nat = 5, ntyp = 4
/
ATOMIC_SPECIES
Pt 195.08 Pt.upf
Tl 204.38 Tl.upf
Ba 137.33 Ba.upf
Cd 112.41 Cd.upf
CELL_PARAMETERS angstrom
5.376 0.000 0.000
0.000 5.376 0.000
0.000 0.000 5.329
ATOMIC_POSITIONS angstrom
Pt 0.000 0.000 0.000
Tl 0.000 2.688 0.000
Ba 2.688 2.688 2.664
Tl 2.688 0.000 0.000
Cd 0.000 0.000 2.664
! Calculated density = 9.20 Mg/m³
! ΔE to the lowest computed polymorph = 0.0 meV/atom
! Space-group type = No. 123
! Total magnetic moment = 0.000 μB per atom

---

! PBE BaCdPtW2, optimized geometry; values from VASP
&SYSTEM
  ibrav = 0, nat = 5, ntyp = 4
/
ATOMIC_SPECIES
Cd 112.41 Cd.upf
Pt 195.08 Pt.upf
W 183.84 W.upf
Ba 137.33 Ba.upf
CELL_PARAMETERS angstrom
5.213 0.000 0.000
0.000 5.233 0.000
0.000 0.000 5.213
ATOMIC_POSITIONS angstrom
Cd 2.607 2.616 2.607
Pt 0.000 2.616 0.000
W 0.000 0.000 2.607
W 2.607 0.000 0.000
Ba 0.000 0.000 0.000
! Calculated density = 9.49 Mg/m³
! VASP energy = -3.841 eV/atom
! Space-group type = No. 123
! Total magnetic moment = 0.850 μB per atom

---

! PBE Ba2Zn3CdPt4, optimized geometry; values from VASP
&SYSTEM
  ibrav = 0, nat = 10, ntyp = 4
/
ATOMIC_SPECIES
Pt 195.08 Pt.upf
Zn 65.41 Zn.upf
Ba 137.33 Ba.upf
Cd 112.41 Cd.upf
CELL_PARAMETERS angstrom
4.453 0.000 0.000
0.000 4.453 0.000
0.000 0.000 11.089
ATOMIC_POSITIONS angstrom
Pt 0.000 0.000 0.000
Zn 0.000 0.000 5.545
Pt 2.226 2.226 0.000
Ba 2.226 0.000 2.656
Zn 2.226 0.000 9.758
Pt 0.000 2.226 3.931
Ba 0.000 2.226 8.433
Pt 2.226 0.000 7.158
Cd 2.226 2.226 5.545
Zn 0.000 2.226 1.331
! Calculated density = 10.30 Mg/m³
! VASP energy = -3.866 eV/atom
! Space-group type = No. 115
! Total magnetic moment = 0.000 μB per atom

---

! PBE Ba2Zn4CdPt3, optimized geometry; values from VASP
&SYSTEM
  ibrav = 0, nat = 10, ntyp = 4
/
ATOMIC_SPECIES
Pt 195.08 Pt.upf
Zn 65.41 Zn.upf
Cd 112.41 Cd.upf
Ba 137.33 Ba.upf
CELL_PARAMETERS angstrom
4.487 0.000 0.000
0.000 4.487 0.000
0.000 0.000 11.031
ATOMIC_POSITIONS angstrom
Pt 0.000 0.000 5.515
Zn 2.243 0.000 7.042
Pt 0.000 2.243 1.375
Cd 2.243 2.243 5.515
Zn 0.000 0.000 0.000
Zn 0.000 2.243 3.989
Ba 2.243 0.000 2.657
Ba 0.000 2.243 8.373
Zn 2.243 2.243 0.000
Pt 2.243 0.000 9.656
! Calculated density = 9.23 Mg/m³
! VASP energy = -3.328 eV/atom
! Space-group type = No. 115
! Total magnetic moment = 0.000 μB per atom

---

! PBE BaZn2CdPt, optimized geometry; values from VASP
&SYSTEM
  ibrav = 0, nat = 5, ntyp = 4
/
ATOMIC_SPECIES
Ba 137.33 Ba.upf
Cd 112.41 Cd.upf
Zn 65.41 Zn.upf
Pt 195.08 Pt.upf
CELL_PARAMETERS angstrom
4.974 0.000 0.000
0.000 4.974 0.000
0.000 0.000 5.258
ATOMIC_POSITIONS angstrom
Ba 2.487 2.487 2.629
Cd 0.000 0.000 2.629
Zn 2.487 0.000 0.000
Zn 0.000 2.487 0.000
Pt 0.000 0.000 0.000
! Calculated density = 7.35 Mg/m³
! VASP energy = -2.686 eV/atom
! Space-group type = No. 123
! Total magnetic moment = 0.000 μB per atom

---

! PBE Ba2Zn6CdPt, optimized geometry; values from VASP
&SYSTEM
  ibrav = 0, nat = 10, ntyp = 4
/
ATOMIC_SPECIES
Ba 137.33 Ba.upf
Zn 65.41 Zn.upf
Cd 112.41 Cd.upf
Pt 195.08 Pt.upf
CELL_PARAMETERS angstrom
7.139 0.010 -0.227
-0.004 6.827 -0.004
3.405 3.411 4.835
ATOMIC_POSITIONS angstrom
Ba 7.832 3.424 1.702
Ba 2.709 6.824 2.903
Zn 4.378 3.464 2.263
Zn 6.162 6.785 2.342
Cd 0.000 0.000 0.000
Pt 3.568 3.419 -0.115
Zn 4.862 1.355 0.503
Zn 5.678 8.893 4.102
Zn 5.726 4.716 4.178
Zn 4.814 5.532 0.427
! Calculated density = 6.71 Mg/m³
! VASP energy = -2.140 eV/atom
! Space-group type = No. 2
! Total magnetic moment = 0.000 μB per atom

---

! PBE Ba2Zn2CdPt5, optimized geometry; values from VASP
&SYSTEM
  ibrav = 0, nat = 20, ntyp = 4
/
ATOMIC_SPECIES
Ba 137.33 Ba.upf
Pt 195.08 Pt.upf
Zn 65.41 Zn.upf
Cd 112.41 Cd.upf
CELL_PARAMETERS angstrom
3.798 0.000 0.000
0.000 10.393 0.000
0.000 0.000 10.393
ATOMIC_POSITIONS angstrom
Ba 0.000 1.880 3.316
Pt 1.899 0.613 8.177
Pt 1.899 8.177 9.780
Pt 1.899 7.412 4.583
Zn 0.000 6.431 9.158
Pt 1.899 2.981 5.810
Pt 1.899 5.810 7.412
Pt 1.899 2.215 0.613
Pt 1.899 4.583 2.981
Pt 1.899 5.196 0.000
Zn 0.000 3.962 1.234
Zn 0.000 9.158 3.962
Pt 1.899 9.780 2.215
Ba 0.000 7.076 1.880
Zn 0.000 1.234 6.431
Cd 0.000 0.000 0.000
Pt 1.899 0.000 5.196
Cd 0.000 5.196 5.196
Ba 0.000 3.316 8.513
Ba 0.000 8.513 7.076
! Calculated density = 12.09 Mg/m³
! VASP energy = -4.206 eV/atom
! Space-group type = No. 127
! Total magnetic moment = 0.000 μB per atom

---

! PBE Ba2ZnCd6Pt, optimized geometry; values from VASP
&SYSTEM
  ibrav = 0, nat = 10, ntyp = 4
/
ATOMIC_SPECIES
Cd 112.41 Cd.upf
Ba 137.33 Ba.upf
Pt 195.08 Pt.upf
Zn 65.41 Zn.upf
CELL_PARAMETERS angstrom
7.456 0.001 -0.121
-0.014 7.355 0.000
3.647 3.686 5.173
ATOMIC_POSITIONS angstrom
Cd 5.807 5.223 4.733
Ba 3.064 7.365 2.992
Ba 8.026 3.677 2.059
Pt 3.721 3.678 -0.061
Cd 4.272 3.694 2.557
Cd 5.796 9.499 4.734
Zn 0.000 0.000 0.000
Cd 5.283 5.819 0.318
Cd 6.817 7.348 2.494
Cd 5.294 1.542 0.317
! Calculated density = 7.00 Mg/m³
! VASP energy = -1.936 eV/atom
! Space-group type = No. 2
! Total magnetic moment = 0.000 μB per atom

---

! PBE BaPuCd, optimized geometry; values from VASP
&SYSTEM
  ibrav = 0, nat = 6, ntyp = 3
/
ATOMIC_SPECIES
Cd 112.41 Cd.upf
Ba 137.33 Ba.upf
Pu 244.00 Pu.upf
CELL_PARAMETERS angstrom
-3.620 5.486 1.114
-8.738 -1.754 -3.101
-1.201 -2.645 2.508
ATOMIC_POSITIONS angstrom
Cd -10.175 2.019 1.267
Cd -6.189 -0.289 0.742
Ba -3.299 4.246 1.041
Pu -3.049 0.562 0.207
Pu -7.060 2.984 0.841
Ba -8.411 1.073 -1.825
! Calculated density = 7.82 Mg/m³
! VASP energy = -5.581 eV/atom
! Space-group type = No. 8
! Total magnetic moment = 2.197 μB per atom

---

! PBE BaPuCd17, optimized geometry; values from VASP
&SYSTEM
  ibrav = 0, nat = 19, ntyp = 3
/
ATOMIC_SPECIES
Cd 112.41 Cd.upf
Ba 137.33 Ba.upf
Pu 244.00 Pu.upf
CELL_PARAMETERS angstrom
-7.618 -1.163 1.124
0.485 -3.434 6.973
-1.386 6.298 4.366
ATOMIC_POSITIONS angstrom
Cd -0.907 0.181 1.327
Ba -5.651 1.128 8.266
Cd -5.565 2.587 4.744
Cd -1.982 1.583 7.330
Cd -7.729 1.543 11.306
Cd -2.723 -1.183 7.958
Pu -2.817 0.562 4.121
Cd -5.742 1.033 2.099
Cd -5.197 -1.806 2.860
Cd -6.916 -0.008 4.932
Cd -4.738 -1.717 5.897
Cd -4.808 2.228 11.766
Cd -1.914 -2.727 5.230
Cd -8.635 3.301 9.003
Cd -7.752 -1.297 10.235
Cd -3.217 4.056 3.413
Cd -0.854 3.393 5.119
Cd -3.691 3.853 6.609
Cd -0.096 -0.550 6.175
! Calculated density = 8.27 Mg/m³
! VASP energy = -1.784 eV/atom
! Space-group type = No. 160
! Total magnetic moment = 0.312 μB per atom

---

! PBE BaPuCd4, optimized geometry; values from VASP
&SYSTEM
  ibrav = 0, nat = 6, ntyp = 3
/
ATOMIC_SPECIES
Cd 112.41 Cd.upf
Pu 244.00 Pu.upf
Ba 137.33 Ba.upf
CELL_PARAMETERS angstrom
6.203 0.000 0.000
3.101 5.372 0.000
3.101 1.791 5.064
ATOMIC_POSITIONS angstrom
Cd 6.203 3.581 0.640
Cd 4.658 4.473 3.163
Cd 6.203 1.797 3.163
Cd 7.748 4.473 3.163
Pu 3.101 1.791 1.266
Ba 0.000 0.000 0.000
! Calculated density = 8.18 Mg/m³
! VASP energy = -3.406 eV/atom
! Space-group type = No. 216
! Total magnetic moment = 1.036 μB per atom

---

! PBE Ba2PuCdSe5, optimized geometry; values from VASP
&SYSTEM
  ibrav = 0, nat = 18, ntyp = 4
/
ATOMIC_SPECIES
Se 78.96 Se.upf
Ba 137.33 Ba.upf
Pu 244.00 Pu.upf
Cd 112.41 Cd.upf
CELL_PARAMETERS angstrom
-0.939 -4.067 1.326
8.565 1.747 4.192
-6.281 4.962 10.766
ATOMIC_POSITIONS angstrom
Se -2.110 -0.697 3.598
Se 5.710 -0.184 3.479
Se -1.273 0.383 7.503
Ba 4.646 -1.331 6.441
Se 1.997 -1.393 4.373
Se 3.207 3.535 13.109
Se -2.808 2.196 11.974
Ba 0.459 1.792 13.052
Ba -2.503 3.342 8.475
Pu 1.035 0.360 9.067
Cd -5.582 2.634 11.353
Se 3.167 0.488 10.969
Ba 0.080 1.486 4.613
Se 0.560 3.077 9.833
Se 0.575 0.260 1.204
Pu 3.247 -0.038 2.182
Se 2.584 1.685 6.997
Cd 4.457 1.959 9.163
! Calculated density = 6.14 Mg/m³
! Formation energy without anion corrections = -1.470 eV/atom
! Space-group type = No. 36
! Total magnetic moment = 0.444 μB per atom

---

! PBE BaPuCdSn, optimized geometry; values from VASP
&SYSTEM
  ibrav = 0, nat = 4, ntyp = 4
/
ATOMIC_SPECIES
Pu 244.00 Pu.upf
Sn 118.71 Sn.upf
Ba 137.33 Ba.upf
Cd 112.41 Cd.upf
CELL_PARAMETERS angstrom
5.700 0.000 0.000
2.850 4.937 0.000
2.850 1.646 4.654
ATOMIC_POSITIONS angstrom
Pu 5.700 3.291 2.327
Sn 2.850 1.646 1.164
Ba 0.000 0.000 0.000
Cd 8.551 4.937 3.491
! Calculated density = 7.76 Mg/m³
! VASP energy = -5.505 eV/atom
! Space-group type = No. 216
! Total magnetic moment = 1.523 μB per atom

---

! PBE BaPuTlCd, optimized geometry; values from VASP
&SYSTEM
  ibrav = 0, nat = 4, ntyp = 4
/
ATOMIC_SPECIES
Ba 137.33 Ba.upf
Tl 204.38 Tl.upf
Pu 244.00 Pu.upf
Cd 112.41 Cd.upf
CELL_PARAMETERS angstrom
-1.354 5.177 2.069
-3.847 3.264 -2.731
-5.167 0.898 2.326
ATOMIC_POSITIONS angstrom
Ba 0.000 0.000 0.000
Tl -2.592 2.335 0.416
Pu -5.184 4.669 0.831
Cd -7.776 7.004 1.247
! Calculated density = 8.68 Mg/m³
! VASP energy = -4.934 eV/atom
! Space-group type = No. 216
! Total magnetic moment = 1.470 μB per atom

---

! PBE Rb2Ba2Cd, optimized geometry; values from VASP
&SYSTEM
  ibrav = 0, nat = 10, ntyp = 3
/
ATOMIC_SPECIES
Ba 137.33 Ba.upf
Cd 112.41 Cd.upf
Rb 85.47 Rb.upf
CELL_PARAMETERS angstrom
-2.067 0.654 -8.966
2.779 -8.703 -1.275
-6.701 -2.341 1.374
ATOMIC_POSITIONS angstrom
Ba -4.156 -3.411 -7.063
Cd 0.000 0.000 0.000
Ba -2.482 -7.852 -6.464
Ba -1.832 -6.979 -1.805
Rb -0.928 -0.856 -5.989
Ba -3.506 -2.538 -2.404
Cd 0.356 -4.024 -5.121
Rb 0.036 -5.073 -8.473
Rb 1.641 -7.193 -4.253
Rb 0.677 -2.976 -1.768
! Calculated density = 3.01 Mg/m³
! ΔE to the lowest computed polymorph = 115.5 meV/atom
! Space-group type = No. 127
! Total magnetic moment = 0.000 μB per atom

---

! PBE Rb2Ba2Cd, optimized geometry; values from VASP
&SYSTEM
  ibrav = 0, nat = 10, ntyp = 3
/
ATOMIC_SPECIES
Rb 85.47 Rb.upf
Ba 137.33 Ba.upf
Cd 112.41 Cd.upf
CELL_PARAMETERS angstrom
-8.664 3.231 -0.529
-3.114 -8.594 -1.493
-0.853 -1.028 7.694
ATOMIC_POSITIONS angstrom
Rb -3.794 -0.954 3.415
Ba -5.468 -6.078 -1.418
Cd -5.889 -2.682 -1.011
Ba -2.489 -2.312 -0.585
Rb -8.600 -0.648 2.923
Ba -9.289 -3.051 -1.438
Rb -4.030 -5.743 2.749
Cd 0.000 0.000 0.000
Ba -6.309 0.715 -0.604
Rb -8.837 -5.437 2.257
! Calculated density = 2.77 Mg/m³
! ΔE to the lowest computed polymorph = 0.0 meV/atom
! Space-group type = No. 127
! Total magnetic moment = 0.000 μB per atom

---

! PBE RbBa2Cd, optimized geometry; values from VASP
&SYSTEM
  ibrav = 0, nat = 8, ntyp = 3
/
ATOMIC_SPECIES
Ba 137.33 Ba.upf
Rb 85.47 Rb.upf
Cd 112.41 Cd.upf
CELL_PARAMETERS angstrom
-8.767 -6.125 -0.180
3.039 -4.619 9.156
-4.934 -2.472 6.638
ATOMIC_POSITIONS angstrom
Ba -6.067 -5.551 7.685
Ba -8.494 -11.588 13.492
Rb -2.380 -6.232 10.141
Cd -8.282 -6.985 5.473
Rb -2.864 -5.372 4.488
Cd 0.000 0.000 0.000
Ba 0.201 -3.830 7.373
Ba -6.964 -5.465 2.678
! Calculated density = 3.30 Mg/m³
! VASP energy = -1.341 eV/atom
! Space-group type = No. 122
! Total magnetic moment = 0.000 μB per atom

---

! PBE RbBa3Cd, optimized geometry; values from VASP
&SYSTEM
  ibrav = 0, nat = 5, ntyp = 3
/
ATOMIC_SPECIES
Rb 85.47 Rb.upf
Ba 137.33 Ba.upf
Cd 112.41 Cd.upf
CELL_PARAMETERS angstrom
6.902 0.000 0.000
0.000 6.902 0.000
0.000 0.000 6.902
ATOMIC_POSITIONS angstrom
Rb 3.451 3.451 3.451
Ba 3.451 0.000 0.000
Ba 0.000 3.451 0.000
Ba 0.000 0.000 3.451
Cd 0.000 0.000 0.000
! Calculated density = 3.08 Mg/m³
! ΔE to the lowest computed polymorph = 0.0 meV/atom
! Space-group type = No. 221
! Total magnetic moment = 0.000 μB per atom

---

! PBE RbBaCd3, optimized geometry; values from VASP
&SYSTEM
  ibrav = 0, nat = 5, ntyp = 3
/
ATOMIC_SPECIES
Cd 112.41 Cd.upf
Ba 137.33 Ba.upf
Rb 85.47 Rb.upf
CELL_PARAMETERS angstrom
6.224 0.000 0.000
0.000 6.224 0.000
0.000 0.000 6.224
ATOMIC_POSITIONS angstrom
Cd 0.000 3.112 0.000
Cd 3.112 0.000 0.000
Ba 3.112 3.112 3.112
Rb 0.000 0.000 0.000
Cd 0.000 0.000 3.112
! Calculated density = 3.86 Mg/m³
! ΔE to the lowest computed polymorph = 91.8 meV/atom
! Space-group type = No. 221
! Total magnetic moment = 0.000 μB per atom

---

! PBE RbBaCd3, optimized geometry; values from VASP
&SYSTEM
  ibrav = 0, nat = 5, ntyp = 3
/
ATOMIC_SPECIES
Cd 112.41 Cd.upf
Rb 85.47 Rb.upf
Ba 137.33 Ba.upf
CELL_PARAMETERS angstrom
-5.335 1.431 3.650
-2.784 -5.722 -1.826
2.760 -3.007 5.213
ATOMIC_POSITIONS angstrom
Cd -2.667 0.715 1.825
Rb -2.680 -3.649 3.518
Cd 1.380 -1.503 2.606
Cd -1.392 -2.861 -0.913
Ba 0.000 0.000 0.000
! Calculated density = 3.20 Mg/m³
! ΔE to the lowest computed polymorph = 0.0 meV/atom
! Space-group type = No. 221
! Total magnetic moment = 0.000 μB per atom